Entry 1:
Density functional theory data (GGA-PBEsol) for a relaxed PW2Br crystal.

## Properties
Crystal system   monoclinic

Cell: 5.0720 5.0720 3.0335 Å, 107.21 107.21 107.90°
Last column: nearest neighbours and their distance in Å.
Fractional positions:
P1 0.0000 0.0000 0.0000  4 W 2.54
W1 0.0000 0.5000 0.5000  2 Br 2.54, 2 P 2.54
W2 0.5000 0.0000 0.5000  2 Br 2.54, 2 P 2.54
Br1 0.5000 0.5000 0.0000  4 W 2.54

=====

Entry 2:
Density functional theory data (GGA-PBEsol) for a relaxed PW2Br crystal.

## Properties
Crystal system   cubic

Cell: 4.5020 4.5020 4.5020 Å, 60.00 60.00 60.00°
Last column: nearest neighbours and their distance in Å.
Fractional positions:
P1 0.0000 0.0000 0.0000  4 Br 2.76, 4 W 2.76
W1 0.2500 0.2500 0.2500  4 W 2.76, 4 P 2.76
W2 0.5000 0.5000 0.5000  4 W 2.76, 4 Br 2.76
Br1 0.7500 0.7500 0.7500  4 P 2.76, 4 W 2.76

=====

Respective total magnetic moment values: 0.00; 0.00 Bohr magnetons per cell.
Respective formation energy without anion corrections values: 1.00; 1.17 eV/atom.